Entry 1:
{"formula": "LaBe2Tc", "functional": "PBE-GGA", "state": "relaxed", "polymorph_energy_mev_per_atom": 117, "magnetic_moment_mub_per_fu": 0.0, "formation_energy_ev_per_fu": 0.4, "spacegroup": "Pm", "dos_ef_per_ev_cell": 3.45, "lattice": [[-3.459, 0.160, -0.376], [-0.286, -2.992, 1.362], [-0.592, 0.959, 5.860]], "species": ["Be", "Be", "Tc", "La"], "fractional_positions": [[0.000, 0.202, 0.967], [0.500, 0.107, 0.163], [0.500, 0.738, 0.895], [0.000, 0.454, 0.475]]}



Entry 2:
{"formula": "HgPtW2", "functional": "PBE-GGA", "state": "relaxed", "magnetic_moment_mub_per_fu": 0.0, "formation_energy_ev_per_fu": 2.2, "spacegroup": "P4/mmm", "dos_ef_per_ev_cell": 2.63, "lattice": [[-2.214, -0.443, 2.575], [2.464, -1.478, 1.864], [1.541, 5.417, 2.257]], "species": ["Hg", "Pt", "W", "W"], "fractional_positions": [[0.500, 0.500, 0.250], [0.500, 0.500, 0.750], [0.000, 0.000, 0.954], [0.000, 0.000, 0.546]]}



Entry 3:
{"formula": "Ga2Ag3Au4", "functional": "PBE-GGA", "state": "relaxed", "polymorph_energy_mev_per_atom": 46, "magnetic_moment_mub_per_fu": 0.0, "formation_energy_ev_per_fu": -0.6, "spacegroup": "C2/m", "dos_ef_per_ev_cell": 2.34, "lattice": [[-3.430, 1.729, 1.910], [2.203, -3.517, 2.322], [5.276, 5.284, 4.689]], "species": ["Ga", "Ga", "Ag", "Ag", "Ag", "Au", "Au", "Au", "Au"], "fractional_positions": [[0.336, 0.672, 0.210], [0.664, 0.328, 0.790], [0.339, 0.677, 0.540], [0.000, 0.000, 0.000], [0.661, 0.323, 0.460], [0.671, 0.341, 0.128], [0.010, 0.021, 0.670], [0.990, 0.979, 0.330], [0.329, 0.659, 0.872]]}



| no. | V (Å³/atom) |
| --- | --- |
| 1 | 16.52 |
| 2 | 17.80 |
| 3 | 17.74 |